An optimized crystal structure of NaLaY3, computed with PBE.

a = 5.639 Å, b = 5.639 Å, c = 5.639 Å
α = 90.00°, β = 90.00°, γ = 90.00°
Space group Pm-3m (No. 221)
Inequivalent atoms, fractional coordinates:
Na 0.000 0.000 0.000
La 0.500 0.500 0.500
Y 0.000 0.000 0.500

Output
* final energy: -4.4745 eV/atom
* energy relative to the lowest polymorph listed for this composition: 0.0 kJ/mol of formula units
* energy of formation: 0.653 eV per atom

An optimized crystal structure of NaLa3Y, computed with PBE.

a = 5.812 Å, b = 5.812 Å, c = 5.812 Å
α = 90.00°, β = 90.00°, γ = 90.00°
Space group Pm-3m (No. 221)
Inequivalent atoms, fractional coordinates:
Na 0.000 0.000 0.000
La 0.000 0.000 0.500
Y 0.500 0.500 0.500

Output
* final energy: -3.8035 eV/atom
* energy relative to the lowest polymorph listed for this composition: 64.0 kJ/mol of formula units
* energy of formation: 0.710 eV per atom

An optimized crystal structure of NaLaY3, computed with PBE.

a = 5.791 Å, b = 5.791 Å, c = 5.791 Å
α = 90.00°, β = 90.00°, γ = 90.00°
Space group Pm-3m (No. 221)
Inequivalent atoms, fractional coordinates:
Na 0.000 0.000 0.000
La 0.500 0.500 0.500
Y 0.000 0.500 0.500

Output
* final energy: -4.3922 eV/atom
* energy relative to the lowest polymorph listed for this composition: 39.7 kJ/mol of formula units
* energy of formation: 0.736 eV per atom

An optimized crystal structure of NaLaY2, computed with PBE.

a = 8.153 Å, b = 8.153 Å, c = 8.153 Å
α = 90.00°, β = 90.00°, γ = 90.00°
Space group Fm-3m (No. 225)
Inequivalent atoms, fractional coordinates:
Na 0.000 0.000 0.000
La 0.000 0.000 0.500
Y 0.250 0.250 0.250

Output
* final energy: -4.4725 eV/atom
* energy relative to the lowest polymorph listed for this composition: 63.0 kJ/mol of formula units
* energy of formation: 0.321 eV per atom

An optimized crystal structure of NaLaY2, computed with PBE.

a = 3.5650 Å, b = 3.5650 Å, c = 38.5201 Å
α = 90.00°, β = 90.00°, γ = 120.00°
Space group R-3m (No. 166, hexagonal axes)
Inequivalent atoms, fractional coordinates:
Na 0.0000 0.0000 0.0000
La 0.0000 0.0000 0.5000
Y 0.0000 0.0000 0.0912

Output
* final energy: -4.6094 eV/atom
* energy relative to the lowest polymorph listed for this composition: 10.2 kJ/mol of formula units
* energy of formation: 0.184 eV per atom

An optimized crystal structure of Na3LaY, computed with PBE.

a = 5.951 Å, b = 5.951 Å, c = 5.951 Å
α = 90.00°, β = 90.00°, γ = 90.00°
Space group Pm-3m (No. 221)
Inequivalent atoms, fractional coordinates:
Na 0.000 0.000 0.500
La 0.000 0.000 0.000
Y 0.500 0.500 0.500

Output
* final energy: -1.9494 eV/atom
* energy of formation: 1.120 eV per atom

An optimized crystal structure of NaLa3Y, computed with PBE.

a = 6.053 Å, b = 6.053 Å, c = 6.053 Å
α = 90.00°, β = 90.00°, γ = 90.00°
Space group Pm-3m (No. 221)
Inequivalent atoms, fractional coordinates:
Na 0.000 0.000 0.000
La 0.000 0.500 0.500
Y 0.500 0.500 0.500

Output
* final energy: -3.9361 eV/atom
* energy relative to the lowest polymorph listed for this composition: 0.0 kJ/mol of formula units
* energy of formation: 0.577 eV per atom

An optimized crystal structure of NaLaY2, computed with PBE.

a = 3.618 Å, b = 3.618 Å, c = 10.576 Å
α = 90.00°, β = 90.00°, γ = 90.00°
Space group P4/mmm (No. 123)
Inequivalent atoms, fractional coordinates:
Na 0.000 0.000 0.000
La 0.000 0.000 0.500
Y 0.500 0.500 0.264

Output
* final energy: -4.6358 eV/atom
* energy relative to the lowest polymorph listed for this composition: 0.0 kJ/mol of formula units
* energy of formation: 0.158 eV per atom

An optimized crystal structure of Na2LaZn2, computed with PBE.

a = 4.285 Å, b = 4.285 Å, c = 14.347 Å
α = 90.00°, β = 90.00°, γ = 90.00°
Space group I4/mmm (No. 139)
Inequivalent atoms, fractional coordinates:
Na 0.000 0.500 0.250
La 0.000 0.000 0.000
Zn 0.000 0.000 0.408

Output
* final energy: -2.0353 eV/atom
* energy relative to the lowest polymorph listed for this composition: 0.0 kJ/mol of formula units
* energy of formation: -0.013 eV per atom

An optimized crystal structure of NaLa2Zn, computed with PBE.

a = 3.6435 Å, b = 3.6435 Å, c = 36.1038 Å
α = 90.00°, β = 90.00°, γ = 120.00°
Space group R-3m (No. 166, hexagonal axes)
Inequivalent atoms, fractional coordinates:
Na 0.0000 0.0000 0.0000
La 0.0000 0.0000 0.1035
Zn 0.0000 0.0000 0.5000

Output
* final energy: -3.0455 eV/atom
* energy of formation: 0.066 eV per atom

An optimized crystal structure of NaLaZn2, computed with PBE.

a = 4.733 Å, b = 4.733 Å, c = 19.441 Å
α = 90.00°, β = 90.00°, γ = 90.00°
Space group I-42d (No. 122)
Inequivalent atoms, fractional coordinates:
Na 0.000 0.000 0.000
La 0.000 0.000 0.500
Zn 0.114 0.250 0.125

Output
* final energy: -1.9765 eV/atom
* energy of formation: 0.222 eV per atom

An optimized crystal structure of NaLaZn4, computed with PBE.

a = 7.873 Å, b = 7.873 Å, c = 7.873 Å
α = 90.00°, β = 90.00°, γ = 90.00°
Space group F-43m (No. 216)
Inequivalent atoms, fractional coordinates:
Na 0.000 0.000 0.000
La 0.250 0.250 0.250
Zn 0.125 0.125 0.625

Output
* final energy: -2.0495 eV/atom
* energy of formation: -0.159 eV per atom

An optimized crystal structure of NaLa2Zn2, computed with PBE.

a = 8.874 Å, b = 8.874 Å, c = 3.584 Å
α = 90.00°, β = 90.00°, γ = 90.00°
Space group P4/mbm (No. 127)
Inequivalent atoms, fractional coordinates:
Na 0.000 0.000 0.000
La 0.168 0.332 0.500
Zn 0.124 0.624 0.000

Output
* final energy: -2.8742 eV/atom
* energy relative to the lowest polymorph listed for this composition: 0.0 kJ/mol of formula units
* energy of formation: -0.130 eV per atom

An optimized crystal structure of NaLa2Zn, computed with PBE.

a = 8.872 Å, b = 8.872 Å, c = 6.555 Å
α = 90.00°, β = 90.00°, γ = 90.00°
Space group I-42d (No. 122)
Inequivalent atoms, fractional coordinates:
Na 0.000 0.000 0.000
La 0.210 0.250 0.625
Zn 0.000 0.000 0.500

Output
* final energy: -2.9088 eV/atom
* energy of formation: 0.203 eV per atom

An optimized crystal structure of NaLa2Zn2, computed with PBE.

a = 3.741 Å, b = 3.741 Å, c = 21.887 Å
α = 90.00°, β = 90.00°, γ = 90.00°
Space group I4/mmm (No. 139)
Inequivalent atoms, fractional coordinates:
Na 0.000 0.000 0.000
La 0.000 0.000 0.368
Zn 0.000 0.500 0.250

Output
* final energy: -2.6327 eV/atom
* energy relative to the lowest polymorph listed for this composition: 116.5 kJ/mol of formula units
* energy of formation: 0.112 eV per atom

An optimized crystal structure of NaLa2Zn2, computed with PBE.

a = 9.119 Å, b = 9.119 Å, c = 3.417 Å
α = 90.00°, β = 90.00°, γ = 90.00°
Space group P4/mbm (No. 127)
Inequivalent atoms, fractional coordinates:
Na 0.000 0.000 0.000
La 0.130 0.370 0.000
Zn 0.164 0.664 0.500

Output
* final energy: -2.7900 eV/atom
* energy relative to the lowest polymorph listed for this composition: 40.6 kJ/mol of formula units
* energy of formation: -0.046 eV per atom

An optimized crystal structure of Na2LaZn, computed with PBE.

a = 4.445 Å, b = 4.445 Å, c = 25.359 Å
α = 90.00°, β = 90.00°, γ = 90.00°
Space group I-42d (No. 122)
Inequivalent atoms, fractional coordinates:
Na 0.221 0.250 0.125
La 0.000 0.000 0.500
Zn 0.000 0.000 0.000

Output
* final energy: -2.0126 eV/atom
* energy of formation: 0.197 eV per atom

An optimized crystal structure of Na2LaZn2, computed with PBE.

a = 8.692 Å, b = 8.692 Å, c = 3.280 Å
α = 90.00°, β = 90.00°, γ = 90.00°
Space group P4/mbm (No. 127)
Inequivalent atoms, fractional coordinates:
Na 0.116 0.384 0.000
La 0.000 0.000 0.000
Zn 0.187 0.687 0.500

Output
* final energy: -1.9423 eV/atom
* energy relative to the lowest polymorph listed for this composition: 44.8 kJ/mol of formula units
* energy of formation: 0.080 eV per atom

An optimized crystal structure of NaLa2Zn, computed with PBE.

a = 5.449 Å, b = 5.449 Å, c = 4.028 Å
α = 90.00°, β = 90.00°, γ = 90.00°
Space group P4/mmm (No. 123)
Inequivalent atoms, fractional coordinates:
Na 0.000 0.000 0.000
La 0.000 0.500 0.500
Zn 0.500 0.500 0.000

Output
* final energy: -3.0759 eV/atom
* energy of formation: 0.036 eV per atom

An optimized crystal structure of NaLa2Zn2, computed with PBE.

a = 4.790 Å, b = 4.790 Å, c = 13.376 Å
α = 90.00°, β = 90.00°, γ = 90.00°
Space group I4/mmm (No. 139)
Inequivalent atoms, fractional coordinates:
Na 0.000 0.000 0.000
La 0.000 0.500 0.250
Zn 0.000 0.000 0.407

Output
* final energy: -2.6617 eV/atom
* energy relative to the lowest polymorph listed for this composition: 102.5 kJ/mol of formula units
* energy of formation: 0.083 eV per atom

An optimized crystal structure of NaLaZn2, computed with PBE.

a = 5.316 Å, b = 5.316 Å, c = 3.584 Å
α = 90.00°, β = 90.00°, γ = 90.00°
Space group P4/mmm (No. 123)
Inequivalent atoms, fractional coordinates:
Na 0.000 0.000 0.000
La 0.500 0.500 0.000
Zn 0.000 0.500 0.500

Output
* final energy: -2.2747 eV/atom
* energy of formation: -0.076 eV per atom

An optimized crystal structure of NaLaZn10, computed with PBE.

a = 4.334 Å, b = 5.284 Å, c = 9.471 Å
α = 90.00°, β = 90.00°, γ = 90.00°
Space group Pmmm (No. 47)
Inequivalent atoms, fractional coordinates:
Na 0.000 0.000 0.000
La 0.000 0.500 0.500
Zn 0.000 0.000 0.312
Zn 0.000 0.500 0.155
Zn 0.500 0.000 0.500
Zn 0.500 0.258 0.259
Zn 0.500 0.500 0.000

Output
* final energy: -1.7498 eV/atom
* energy of formation: -0.168 eV per atom

An optimized crystal structure of Na2LaZn9, computed with PBE.

a = 5.4598 Å, b = 5.4598 Å, c = 25.9783 Å
α = 90.00°, β = 90.00°, γ = 120.00°
Space group R-3m (No. 166, hexagonal axes)
Inequivalent atoms, fractional coordinates:
Na 0.0000 0.0000 0.1443
La 0.0000 0.0000 0.0000
Zn 0.0000 0.0000 0.3345
Zn 0.0000 0.0000 0.5000
Zn 0.0036 0.5018 0.9166

Output
* final energy: -1.7296 eV/atom
* energy of formation: -0.144 eV per atom

An optimized crystal structure of Na2La2Zn, computed with PBE.

a = 7.707 Å, b = 7.707 Å, c = 6.101 Å
α = 90.00°, β = 90.00°, γ = 90.00°
Space group P4/mbm (No. 127)
Inequivalent atoms, fractional coordinates:
Na 0.171 0.329 0.000
La 0.136 0.636 0.500
Zn 0.000 0.000 0.500

Output
* final energy: -2.4973 eV/atom
* energy of formation: 0.256 eV per atom

An optimized crystal structure of NaLa2Zn, computed with PBE.

a = 3.801 Å, b = 3.801 Å, c = 8.855 Å
α = 90.00°, β = 90.00°, γ = 90.00°
Space group P4/mmm (No. 123)
Inequivalent atoms, fractional coordinates:
Na 0.000 0.000 0.000
La 0.500 0.500 0.306
Zn 0.000 0.000 0.500

Output
* final energy: -3.1782 eV/atom
* energy of formation: -0.066 eV per atom

An optimized crystal structure of Na2LaZn2, computed with PBE.

a = 7.686 Å, b = 7.686 Å, c = 4.746 Å
α = 90.00°, β = 90.00°, γ = 90.00°
Space group P4/mbm (No. 127)
Inequivalent atoms, fractional coordinates:
Na 0.167 0.333 0.000
La 0.000 0.000 0.500
Zn 0.116 0.616 0.500

Output
* final energy: -1.9428 eV/atom
* energy relative to the lowest polymorph listed for this composition: 44.6 kJ/mol of formula units
* energy of formation: 0.080 eV per atom